Entry from Alexandria via LeMat-Bulk: a relaxed RbNa6Au6 crystal (GGA-PBE).

Results
VASP energy in eV/atom: -2.488
Calculated volume in Å³ per atom: 23.442
N(E_F) in states/eV per atom: 0.2071
Formation energy from the elements in kJ/mol of atoms: -28.2

abc: 5.710 10.181 10.484
angles: 90.00 90.00 90.00
Space group Immm (No. 71)
Asymmetric unit:
Rb  0.000  0.000  0.000 x2
Na  0.000  0.000  0.334 x4
Na  0.000  0.312  0.500 x4
Na  0.000  0.350  0.000 x4
Au  0.000  0.500  0.262 x4
Au  0.250  0.250  0.250 x8

***

Entry from Alexandria via LeMat-Bulk: a relaxed Rb4Na2Au crystal (GGA-PBE).

Results
VASP energy in eV/atom: -1.464
Polymorph energy (0 for the lowest one) in kJ/mol of formula units: 0
Calculated volume in Å³ per atom: 55.669
N(E_F) in states/eV per atom: 0.5909
Formation energy from the elements in kJ/mol of atoms: -6.4

abc: 15.723 6.473 8.542
angles: 90.00 116.30 90.00
Space group C2/m (No. 12)
Asymmetric unit:
Rb  0.038  0.000  0.255 x4
Rb  0.157  0.500  0.793 x4
Na  0.195  0.500  0.312 x4
Au  0.000  0.500  0.000 x2